(1)
{
  "formula": "NaCaBeSn2",
  "functional": "PBE",
  "state": "relaxed",
  "magmom_total_mub_per_fu": 0.573,
  "sg": "P4/mmm (123)",
  "delta_e_f_mev_per_atom": 1124,
  "cell": [[5.7981, 0.0000, 0.0000], [0.0000, 5.7981, 0.0000], [0.0000, 0.0000, 5.8042]],
  "species": ["Na", "Ca", "Be", "Sn", "Sn"],
  "fractional_positions": [[0.0000, 0.0000, 0.0000], [0.0000, 0.0000, 0.5000], [0.5000, 0.5000, 0.0000], [0.0000, 0.5000, 0.5000], [0.5000, 0.0000, 0.5000]]
}

(2)
{
  "formula": "CuNi",
  "functional": "PBE",
  "state": "relaxed",
  "magmom_total_mub_per_fu": 0.651,
  "sg": "I-43m (217)",
  "delta_e_f_mev_per_atom": 1135,
  "cell": [[-3.5557, 3.5557, 3.5557], [3.5557, -3.5557, 3.5557], [3.5557, 3.5557, -3.5557]],
  "species": ["Cu", "Cu", "Cu", "Cu", "Ni", "Ni", "Ni", "Ni"],
  "fractional_positions": [[0.0000, 0.0000, 0.3970], [0.0000, 0.3970, 0.0000], [0.3970, 0.0000, 0.0000], [0.6030, 0.6030, 0.6030], [0.0000, 0.0000, 0.7652], [0.0000, 0.7652, 0.0000], [0.2348, 0.2348, 0.2348], [0.7652, 0.0000, 0.0000]]
}

(3)
{
  "formula": "B3SbBr",
  "functional": "PBE",
  "state": "relaxed",
  "magmom_total_mub_per_fu": 0.000,
  "sg": "Pm-3m (221)",
  "raw_formation_energy_ev_per_atom": 2.32,
  "cell": [[4.2630, 0.0000, 0.0000], [0.0000, 4.2630, 0.0000], [0.0000, 0.0000, 4.2630]],
  "species": ["B", "B", "B", "Sb", "Br"],
  "fractional_positions": [[0.0000, 0.0000, 0.5000], [0.0000, 0.5000, 0.0000], [0.5000, 0.0000, 0.0000], [0.5000, 0.5000, 0.5000], [0.0000, 0.0000, 0.0000]]
}

(4)
{
  "formula": "Ba2FePd",
  "functional": "PBE",
  "state": "relaxed",
  "magmom_total_mub_per_fu": 2.455,
  "sg": "Fm-3m (225)",
  "delta_e_f_mev_per_atom": 277,
  "cell": [[0.0000, 3.9357, 3.9357], [3.9357, 0.0000, 3.9357], [3.9357, 3.9357, 0.0000]],
  "species": ["Ba", "Ba", "Fe", "Pd"],
  "fractional_positions": [[0.2500, 0.2500, 0.2500], [0.7500, 0.7500, 0.7500], [0.0000, 0.0000, 0.0000], [0.5000, 0.5000, 0.5000]]
}

(5)
{
  "formula": "Ac2HoTmO6",
  "functional": "PBE",
  "state": "relaxed",
  "magmom_total_mub_per_fu": 0.000,
  "sg": "P2_1/c (14)",
  "raw_formation_energy_ev_per_atom": -3.49,
  "cell": [[6.0035, 0.0000, 0.0000], [0.0000, 6.1604, 0.0000], [-5.9968, 0.0000, 8.6022]],
  "species": ["Ac", "Ac", "Ac", "Ac", "Ho", "Ho", "Tm", "Tm", "O", "O", "O", "O", "O", "O", "O", "O", "O", "O", "O", "O"],
  "fractional_positions": [[0.2365, 0.0463, 0.2501], [0.2365, 0.4537, 0.7501], [0.7635, 0.5463, 0.2499], [0.7635, 0.9537, 0.7499], [0.5000, 0.0000, 0.0000], [0.5000, 0.5000, 0.5000], [0.0000, 0.0000, 0.5000], [0.0000, 0.5000, 0.0000], [0.1384, 0.2023, 0.9396], [0.1384, 0.2977, 0.4396], [0.2384, 0.6998, 0.9401], [0.2384, 0.8002, 0.4401], [0.3600, 0.0460, 0.7485], [0.3600, 0.4540, 0.2485], [0.6400, 0.5460, 0.7515], [0.6400, 0.9540, 0.2515], [0.7616, 0.1998, 0.5599], [0.7616, 0.3002, 0.0599], [0.8616, 0.7023, 0.5604], [0.8616, 0.7977, 0.0604]]
}

(6)
{
  "formula": "Sc5Ga4Pt",
  "functional": "PBE",
  "state": "relaxed",
  "magmom_total_mub_per_fu": 0.000,
  "sg": "P4/mmm (123)",
  "delta_e_f_mev_per_atom": -730,
  "cell": [[3.3624, 0.0000, 0.0000], [0.0000, 3.3624, 0.0000], [0.0000, 0.0000, 16.5713]],
  "species": ["Sc", "Sc", "Sc", "Sc", "Sc", "Ga", "Ga", "Ga", "Ga", "Pt"],
  "fractional_positions": [[0.0000, 0.0000, 0.0000], [0.0000, 0.0000, 0.2026], [0.0000, 0.0000, 0.4044], [0.0000, 0.0000, 0.5956], [0.0000, 0.0000, 0.7974], [0.5000, 0.5000, 0.1013], [0.5000, 0.5000, 0.3030], [0.5000, 0.5000, 0.6970], [0.5000, 0.5000, 0.8987], [0.5000, 0.5000, 0.5000]]
}

(7)
{
  "formula": "Na3Cd5Pt2",
  "functional": "PBE",
  "state": "relaxed",
  "magmom_total_mub_per_fu": 0.000,
  "sg": "Ibam (72)",
  "delta_e_f_mev_per_atom": -95,
  "cell": [[-6.1585, 6.6528, 2.9885], [6.1585, -6.6528, 2.9885], [6.1585, 6.6528, -2.9885]],
  "species": ["Na", "Na", "Na", "Na", "Na", "Na", "Cd", "Cd", "Cd", "Cd", "Cd", "Cd", "Cd", "Cd", "Cd", "Cd", "Pt", "Pt", "Pt", "Pt"],
  "fractional_positions": [[0.2222, 0.1415, 0.3637], [0.2500, 0.2500, 0.0000], [0.2778, 0.6415, 0.9193], [0.7222, 0.3585, 0.0807], [0.7500, 0.7500, 0.0000], [0.7778, 0.8585, 0.6363], [0.1680, 0.4032, 0.5712], [0.2500, 0.5062, 0.2562], [0.2500, 0.7500, 0.5000], [0.2500, 0.9938, 0.7438], [0.3320, 0.9032, 0.2352], [0.6680, 0.0968, 0.7648], [0.7500, 0.0062, 0.2562], [0.7500, 0.2500, 0.5000], [0.7500, 0.4938, 0.7438], [0.8320, 0.5968, 0.4288], [0.1408, 0.8474, 0.9881], [0.3592, 0.3474, 0.7066], [0.6408, 0.6526, 0.2934], [0.8592, 0.1526, 0.0119]]
}

(8)
{
  "formula": "Er2TcBiO8",
  "functional": "PBE",
  "state": "relaxed",
  "magmom_total_mub_per_fu": 0.225,
  "sg": "Cmmm (65)",
  "raw_formation_energy_ev_per_atom": -2.19,
  "cell": [[3.5178, -3.5670, 0.0000], [3.5178, 3.5670, 0.0000], [0.0000, 0.0000, 6.7694]],
  "species": ["Er", "Er", "Tc", "Bi", "O", "O", "O", "O", "O", "O", "O", "O"],
  "fractional_positions": [[0.0000, 0.0000, 0.2480], [0.0000, 0.0000, 0.7520], [0.5000, 0.5000, 0.0000], [0.5000, 0.5000, 0.5000], [0.1875, 0.1875, 0.5000], [0.2302, 0.2302, 0.0000], [0.3159, 0.6841, 0.2126], [0.3159, 0.6841, 0.7874], [0.6841, 0.3159, 0.2126], [0.6841, 0.3159, 0.7874], [0.7698, 0.7698, 0.0000], [0.8125, 0.8125, 0.5000]]
}

(9)
{
  "formula": "TlRe2Hg",
  "functional": "PBE",
  "state": "relaxed",
  "magmom_total_mub_per_fu": 0.222,
  "sg": "R-3m (166)",
  "delta_e_f_mev_per_atom": 1093,
  "cell": [[1.4868, 0.8584, 9.4068], [-1.4868, 0.8584, 9.4068], [0.0000, -1.7168, 9.4068]],
  "species": ["Tl", "Re", "Re", "Hg"],
  "fractional_positions": [[0.0000, 0.0000, 0.0000], [0.2495, 0.2495, 0.2495], [0.7505, 0.7505, 0.7505], [0.5000, 0.5000, 0.5000]]
}

(10)
{
  "formula": "Y3ReB",
  "functional": "PBE",
  "state": "relaxed",
  "magmom_total_mub_per_fu": 0.014,
  "sg": "Pm-3m (221)",
  "delta_e_f_mev_per_atom": 549,
  "cell": [[4.8816, 0.0000, 0.0000], [0.0000, 4.8816, 0.0000], [0.0000, 0.0000, 4.8816]],
  "species": ["Y", "Y", "Y", "Re", "B"],
  "fractional_positions": [[0.0000, 0.0000, 0.5000], [0.0000, 0.5000, 0.0000], [0.5000, 0.0000, 0.0000], [0.5000, 0.5000, 0.5000], [0.0000, 0.0000, 0.0000]]
}

(11)
{
  "formula": "La2Nd3Th4",
  "functional": "PBE",
  "state": "relaxed",
  "magmom_total_mub_per_fu": 0.000,
  "sg": "C2/m (12)",
  "delta_e_f_mev_per_atom": 76,
  "cell": [[9.4972, -1.8189, 0.0000], [9.4972, 1.8189, 0.0000], [-4.2553, 0.0000, 8.9473]],
  "species": ["La", "La", "Nd", "Nd", "Nd", "Th", "Th", "Th", "Th"],
  "fractional_positions": [[0.1636, 0.1636, 0.0038], [0.8364, 0.8364, 0.9962], [0.3541, 0.3541, 0.3345], [0.5000, 0.5000, 0.0000], [0.6459, 0.6459, 0.6655], [0.0257, 0.0257, 0.3379], [0.3163, 0.3163, 0.6583], [0.6837, 0.6837, 0.3417], [0.9743, 0.9743, 0.6621]]
}

(12)
{
  "formula": "RbBeTlAu2",
  "functional": "PBE",
  "state": "relaxed",
  "magmom_total_mub_per_fu": 0.000,
  "sg": "P4/mmm (123)",
  "delta_e_f_mev_per_atom": 337,
  "cell": [[5.6044, 0.0000, 0.0000], [0.0000, 5.6044, 0.0000], [0.0000, 0.0000, 4.7245]],
  "species": ["Rb", "Be", "Tl", "Au", "Au"],
  "fractional_positions": [[0.0000, 0.0000, 0.0000], [0.5000, 0.5000, 0.0000], [0.5000, 0.5000, 0.5000], [0.0000, 0.5000, 0.5000], [0.5000, 0.0000, 0.5000]]
}

(13)
{
  "formula": "Rb2Hf3TlS8",
  "functional": "PBE",
  "state": "relaxed",
  "magmom_total_mub_per_fu": 0.000,
  "sg": "R3m (160)",
  "raw_formation_energy_ev_per_atom": -1.32,
  "cell": [[3.8291, 2.2107, 8.2267], [-3.8291, 2.2107, 8.2267], [0.0000, -4.4215, 8.2267]],
  "species": ["Rb", "Rb", "Hf", "Hf", "Hf", "Tl", "S", "S", "S", "S", "S", "S", "S", "S"],
  "fractional_positions": [[0.0000, 0.0000, 0.0000], [0.3479, 0.3479, 0.3479], [0.3546, 0.3546, 0.8503], [0.3546, 0.8503, 0.3546], [0.8503, 0.3546, 0.3546], [0.8371, 0.8371, 0.8371], [0.0838, 0.0838, 0.5563], [0.0838, 0.5563, 0.0838], [0.1299, 0.1299, 0.1299], [0.1648, 0.6060, 0.6060], [0.5563, 0.0838, 0.0838], [0.5777, 0.5777, 0.5777], [0.6060, 0.1648, 0.6060], [0.6060, 0.6060, 0.1648]]
}

(14)
{
  "formula": "Sm2Be4Pt3Rh",
  "functional": "PBE",
  "state": "relaxed",
  "magmom_total_mub_per_fu": 0.000,
  "sg": "P-4m2 (115)",
  "delta_e_f_mev_per_atom": -839,
  "cell": [[4.0698, 0.0000, 0.0000], [0.0000, 4.0698, 0.0000], [0.0000, 0.0000, 9.4341]],
  "species": ["Sm", "Sm", "Be", "Be", "Be", "Be", "Pt", "Pt", "Pt", "Rh"],
  "fractional_positions": [[0.0000, 0.5000, 0.2465], [0.5000, 0.0000, 0.7535], [0.0000, 0.0000, 0.5000], [0.0000, 0.5000, 0.8792], [0.5000, 0.0000, 0.1208], [0.5000, 0.5000, 0.5000], [0.0000, 0.0000, 0.0000], [0.0000, 0.5000, 0.6237], [0.5000, 0.0000, 0.3763], [0.5000, 0.5000, 0.0000]]
}

(15)
{
  "formula": "La3Sm4Er5",
  "functional": "PBE",
  "state": "relaxed",
  "magmom_total_mub_per_fu": 0.000,
  "sg": "C2/m (12)",
  "delta_e_f_mev_per_atom": 234,
  "cell": [[8.0604, -3.0041, 0.0000], [8.0604, 3.0041, 0.0000], [-4.1934, 0.0000, 8.4203]],
  "species": ["La", "La", "La", "Sm", "Sm", "Sm", "Sm", "Er", "Er", "Er", "Er", "Er"],
  "fractional_positions": [[0.0000, 0.0000, 0.0000], [0.2902, 0.2902, 0.7673], [0.7098, 0.7098, 0.2327], [0.2936, 0.2936, 0.1212], [0.4164, 0.4164, 0.5559], [0.5836, 0.5836, 0.4441], [0.7064, 0.7064, 0.8788], [0.0712, 0.0712, 0.6961], [0.1712, 0.1712, 0.3877], [0.5000, 0.5000, 0.0000], [0.8288, 0.8288, 0.6123], [0.9288, 0.9288, 0.3039]]
}

(16)
{
  "formula": "Ac2La6Tc",
  "functional": "PBE",
  "state": "relaxed",
  "magmom_total_mub_per_fu": 0.000,
  "sg": "P2_1/c (14)",
  "delta_e_f_mev_per_atom": 51,
  "cell": [[6.4500, 0.0000, 0.0000], [0.0000, 13.3756, 0.0000], [-6.2940, 0.0000, 7.8075]],
  "species": ["Ac", "Ac", "Ac", "Ac", "La", "La", "La", "La", "La", "La", "La", "La", "La", "La", "La", "La", "Tc", "Tc"],
  "fractional_positions": [[0.0328, 0.0851, 0.2730], [0.0328, 0.4149, 0.7730], [0.9672, 0.5851, 0.2270], [0.9672, 0.9149, 0.7270], [0.2483, 0.1670, 0.0038], [0.2483, 0.3330, 0.5038], [0.2510, 0.6783, 0.9963], [0.2510, 0.8217, 0.4963], [0.4919, 0.0841, 0.7436], [0.4919, 0.4159, 0.2436], [0.5081, 0.5841, 0.7564], [0.5081, 0.9159, 0.2564], [0.7490, 0.1783, 0.5037], [0.7490, 0.3217, 0.0037], [0.7517, 0.6670, 0.4962], [0.7517, 0.8330, 0.9962], [0.5000, 0.0000, 0.0000], [0.5000, 0.5000, 0.5000]]
}

(17)
{
  "formula": "Co4Cu3Ni2Se12",
  "functional": "PBE",
  "state": "relaxed",
  "magmom_total_mub_per_fu": 0.000,
  "sg": "C2/m (12)",
  "raw_formation_energy_ev_per_atom": -0.30,
  "cell": [[6.1644, -3.5532, 0.0000], [6.1644, 3.5532, 0.0000], [-0.0589, 0.0000, 17.4758]],
  "species": ["Co", "Co", "Co", "Co", "Co", "Co", "Co", "Co", "Cu", "Cu", "Cu", "Cu", "Cu", "Cu", "Ni", "Ni", "Ni", "Ni", "Se", "Se", "Se", "Se", "Se", "Se", "Se", "Se", "Se", "Se", "Se", "Se", "Se", "Se", "Se", "Se", "Se", "Se", "Se", "Se", "Se", "Se", "Se", "Se"],
  "fractional_positions": [[0.0000, 0.5000, 0.5000], [0.1662, 0.6668, 0.8336], [0.1667, 0.1667, 0.8337], [0.3332, 0.8338, 0.1664], [0.5000, 0.0000, 0.5000], [0.6668, 0.1662, 0.8336], [0.8333, 0.8333, 0.1663], [0.8338, 0.3332, 0.1664], [0.0000, 0.0000, 0.3740], [0.0000, 0.0000, 0.6260], [0.3331, 0.3331, 0.0410], [0.3344, 0.3344, 0.2923], [0.6656, 0.6656, 0.7077], [0.6669, 0.6669, 0.9590], [0.0000, 0.0000, 0.0000], [0.3323, 0.3323, 0.6673], [0.5000, 0.5000, 0.5000], [0.6677, 0.6677, 0.3327], [0.0001, 0.0001, 0.2364], [0.9999, 0.9999, 0.7636], [0.0322, 0.4833, 0.7560], [0.1504, 0.1504, 0.0891], [0.1501, 0.6995, 0.0890], [0.1797, 0.6340, 0.5789], [0.1824, 0.1824, 0.5776], [0.3005, 0.8499, 0.9110], [0.3311, 0.3311, 0.4301], [0.3335, 0.3335, 0.9036], [0.3660, 0.8203, 0.4211], [0.4833, 0.0322, 0.7560], [0.4829, 0.4829, 0.7563], [0.5171, 0.5171, 0.2437], [0.5167, 0.9678, 0.2440], [0.6340, 0.1797, 0.5789], [0.6665, 0.6665, 0.0964], [0.6689, 0.6689, 0.5699], [0.6995, 0.1501, 0.0890], [0.8176, 0.8176, 0.4224], [0.8203, 0.3660, 0.4211], [0.8499, 0.3005, 0.9110], [0.8496, 0.8496, 0.9109], [0.9678, 0.5167, 0.2440]]
}

(18)
{
  "formula": "Ce5PtRh2",
  "functional": "PBE",
  "state": "relaxed",
  "magmom_total_mub_per_fu": 1.692,
  "sg": "Cmcm (63)",
  "delta_e_f_mev_per_atom": -620,
  "cell": [[2.3111, -5.2178, 0.0000], [2.3111, 5.2178, 0.0000], [0.0000, 0.0000, 15.4692]],
  "species": ["Ce", "Ce", "Ce", "Ce", "Ce", "Ce", "Ce", "Ce", "Ce", "Ce", "Pt", "Pt", "Rh", "Rh", "Rh", "Rh"],
  "fractional_positions": [[0.0789, 0.9211, 0.6111], [0.0789, 0.9211, 0.8889], [0.2228, 0.7772, 0.2500], [0.4157, 0.5843, 0.5754], [0.4157, 0.5843, 0.9246], [0.5843, 0.4157, 0.0754], [0.5843, 0.4157, 0.4246], [0.7772, 0.2228, 0.7500], [0.9211, 0.0789, 0.1111], [0.9211, 0.0789, 0.3889], [0.4837, 0.5163, 0.7500], [0.5163, 0.4837, 0.2500], [0.2498, 0.7502, 0.0746], [0.2498, 0.7502, 0.4254], [0.7502, 0.2498, 0.5746], [0.7502, 0.2498, 0.9254]]
}

(19)
{
  "formula": "CaMn2Ru",
  "functional": "PBE",
  "state": "relaxed",
  "magmom_total_mub_per_fu": 5.583,
  "sg": "P4mm (99)",
  "delta_e_f_mev_per_atom": 341,
  "cell": [[3.0086, 0.0000, 0.0000], [0.0000, 3.0086, 0.0000], [0.0000, 0.0000, 7.5038]],
  "species": ["Ca", "Mn", "Mn", "Ru"],
  "fractional_positions": [[0.0000, 0.0000, 0.0000], [0.0000, 0.0000, 0.5326], [0.5000, 0.5000, 0.3309], [0.5000, 0.5000, 0.7093]]
}

(20)
{
  "formula": "TbNd3",
  "functional": "PBE",
  "state": "relaxed",
  "magmom_total_mub_per_fu": 0.000,
  "sg": "Pmm2 (25)",
  "delta_e_f_mev_per_atom": 33,
  "cell": [[3.6865, 0.0000, 0.0000], [0.0000, 5.9112, 0.0000], [0.0000, 0.0000, 6.3749]],
  "species": ["Tb", "Nd", "Nd", "Nd"],
  "fractional_positions": [[0.0000, 0.0000, 0.0000], [0.0000, 0.5000, 0.3329], [0.5000, 0.0000, 0.4991], [0.5000, 0.5000, 0.8328]]
}

(21)
{
  "formula": "NdBi2IO8",
  "functional": "PBE",
  "state": "relaxed",
  "magmom_total_mub_per_fu": 0.000,
  "sg": "P2/m (10)",
  "raw_formation_energy_ev_per_atom": -1.31,
  "cell": [[5.2667, 0.0000, 0.0000], [0.0000, 6.9423, 0.0000], [-0.0589, 0.0000, 5.2688]],
  "species": ["Nd", "Bi", "Bi", "I", "O", "O", "O", "O", "O", "O", "O", "O"],
  "fractional_positions": [[0.0000, 0.0000, 0.0000], [0.5000, 0.2533, 0.5000], [0.5000, 0.7467, 0.5000], [0.0000, 0.5000, 0.0000], [0.1761, 0.2919, 0.1777], [0.1761, 0.7081, 0.1777], [0.2518, 0.5000, 0.7505], [0.3164, 0.0000, 0.6849], [0.6836, 0.0000, 0.3151], [0.7482, 0.5000, 0.2495], [0.8239, 0.2919, 0.8223], [0.8239, 0.7081, 0.8223]]
}